First-principles (PBE-GGA) data for a relaxed Cs2PCl5F crystal, as listed in Alexandria via LeMat-Bulk.

a b c (Å): 7.3761 7.3761 7.3761
angles (deg): 120.45 120.45 89.23
With the nearest neighbours (Å) after each atom.
Atoms (fractional coordinates):
Cs1 0.0000 0.5000 0.5000  10 Cl 3.67-3.71, 2 F 3.79
Cs2 0.5000 0.0000 0.5000  10 Cl 3.67-3.71, 2 F 3.79
P1 0.2502 0.2502 0.0000  1 F 1.67
Cl1 0.0150 0.0150 0.0000  1 P 2.47
Cl2 0.0290 0.0290 0.5549  1 P 2.31
Cl3 0.0290 0.4741 0.0000  1 P 2.31
Cl4 0.4741 0.0290 0.0000  1 P 2.31
Cl5 0.4741 0.4741 0.4451  1 P 2.31
F1 0.4091 0.4091 0.0000  1 P 1.67

***

First-principles (PBE-GGA) data for a relaxed CsP2ClF crystal, as listed in Alexandria via LeMat-Bulk.

a b c (Å): 4.4941 4.4941 7.1578
angles (deg): 90.00 90.00 90.00
With the nearest neighbours (Å) after each atom.
Atoms (fractional coordinates):
Cs1 0.0000 0.0000 0.0000  4 Cl 3.18
P1 0.0000 0.5000 0.5000  2 F 2.25
P2 0.5000 0.0000 0.5000  2 F 2.25
Cl1 0.5000 0.5000 0.0000  4 Cs 3.18
F1 0.5000 0.5000 0.5000  4 P 2.25

Computed properties:
Energy above the lowest structure with this stoichiometry ... 0 meV/atom

***

First-principles (PBE-GGA) data for a relaxed Cs2PaClF6 crystal, as listed in Alexandria via LeMat-Bulk.

a b c (Å): 6.6902 6.6902 6.0300
angles (deg): 90.00 90.00 120.00
With the nearest neighbours (Å) after each atom.
Atoms (fractional coordinates):
Cs1 0.3333 0.6667 0.2823  9 F 3.18-3.45
Cs2 0.6667 0.3333 0.7177  9 F 3.18-3.45
Pa1 0.0000 0.0000 0.0000  6 F 2.16
Cl1 0.0000 0.0000 0.5000  6 F 2.93, 2 Pa 3.01
F1 0.1707 0.3415 0.8578  1 Pa 2.16
F2 0.1707 0.8293 0.8578  1 Pa 2.16
F3 0.3415 0.1707 0.1422  1 Pa 2.16
F4 0.6585 0.8293 0.8578  1 Pa 2.16
F5 0.8293 0.1707 0.1422  1 Pa 2.16
F6 0.8293 0.6585 0.1422  1 Pa 2.16

***

First-principles (PBE-GGA) data for a relaxed Cs2PaCl4F2 crystal, as listed in Alexandria via LeMat-Bulk.

a b c (Å): 7.3500 7.3500 5.9926
angles (deg): 98.52 98.52 65.31
With the nearest neighbours (Å) after each atom.
Atoms (fractional coordinates):
Cs1 0.1677 0.1677 0.3231  1 F 3.12
Cs2 0.8323 0.8323 0.6769  1 F 3.12
Pa1 0.5000 0.5000 0.0000  2 F 2.13
Cl1 0.1533 0.6489 0.2004  1 Pa 2.71
Cl2 0.3511 0.8467 0.7996  1 Pa 2.71
Cl3 0.6489 0.1533 0.2004  1 Pa 2.71
Cl4 0.8467 0.3511 0.7996  1 Pa 2.71
F1 0.3635 0.3635 0.7286  1 Pa 2.13
F2 0.6365 0.6365 0.2714  1 Pa 2.13

***

First-principles (PBE-GGA) data for a relaxed Cs3Pb2Cl5F2 crystal, as listed in Alexandria via LeMat-Bulk.

a b c (Å): 13.7197 13.7197 13.7197
angles (deg): 155.58 155.58 34.81
With the nearest neighbours (Å) after each atom.
Atoms (fractional coordinates):
Cs1 0.0000 0.0000 0.0000  12 Cl 4.10-4.11
Cs2 0.1915 0.1915 0.0000  1 F 2.80
Cs3 0.8085 0.8085 0.0000  1 F 2.80
Pb1 0.3863 0.3863 0.0000  1 F 2.30
Pb2 0.6137 0.6137 0.0000  1 F 2.30
Cl1 0.1111 0.6111 0.5000  2 Pb 2.90
Cl2 0.3889 0.8889 0.5000  2 Pb 2.90
Cl3 0.5000 0.5000 0.0000  2 Pb 2.98
Cl4 0.6111 0.1111 0.5000  2 Pb 2.90
Cl5 0.8889 0.3889 0.5000  2 Pb 2.90
F1 0.2983 0.2983 0.0000  1 Pb 2.30
F2 0.7017 0.7017 0.0000  1 Pb 2.30

***

First-principles (PBE-GGA) data for a relaxed Cs2PbCl4F2 crystal, as listed in Alexandria via LeMat-Bulk.

a b c (Å): 7.1863 7.1863 6.2556
angles (deg): 101.21 101.21 61.94
With the nearest neighbours (Å) after each atom.
Atoms (fractional coordinates):
Cs1 0.1763 0.1763 0.3216  1 F 2.99
Cs2 0.8237 0.8237 0.6784  1 F 2.99
Pb1 0.5000 0.5000 0.0000  2 F 2.14
Cl1 0.1633 0.6573 0.1874  1 Pb 2.55
Cl2 0.3427 0.8367 0.8126  1 Pb 2.55
Cl3 0.6573 0.1633 0.1874  1 Pb 2.55
Cl4 0.8367 0.3427 0.8126  1 Pb 2.55
F1 0.3559 0.3559 0.7329  1 Pb 2.14
F2 0.6441 0.6441 0.2671  1 Pb 2.14

***

First-principles (PBE-GGA) data for a relaxed CsPbCl2F crystal, as listed in Alexandria via LeMat-Bulk.

a b c (Å): 5.8321 5.8321 4.7986
angles (deg): 90.00 90.00 90.00
With the nearest neighbours (Å) after each atom.
Atoms (fractional coordinates):
Cs1 0.0000 0.0000 0.0000  8 Cl 3.78, 4 F 4.12
Pb1 0.5000 0.5000 0.5000  2 F 2.40
Cl1 0.0000 0.5000 0.5000  2 Pb 2.92
Cl2 0.5000 0.0000 0.5000  2 Pb 2.92
F1 0.5000 0.5000 0.0000  2 Pb 2.40

***

First-principles (PBE-GGA) data for a relaxed Cs3Pb2Cl2F5 crystal, as listed in Alexandria via LeMat-Bulk.

a b c (Å): 14.2231 14.2231 14.2231
angles (deg): 160.05 160.05 28.36
With the nearest neighbours (Å) after each atom.
Atoms (fractional coordinates):
Cs1 0.0000 0.0000 0.0000  12 F 3.37-3.48
Cs2 0.1768 0.1768 0.0000  5 Cl 3.51-3.52, 4 F 3.56
Cs3 0.8232 0.8232 0.0000  5 Cl 3.51-3.52, 4 F 3.56
Pb1 0.4129 0.4129 0.0000  5 F 2.40-2.47
Pb2 0.5871 0.5871 0.0000  5 F 2.40-2.47
Cl1 0.3039 0.3039 0.0000  1 Pb 3.01
Cl2 0.6961 0.6961 0.0000  1 Pb 3.01
F1 0.0835 0.5835 0.5000  2 Pb 2.47
F2 0.4165 0.9165 0.5000  2 Pb 2.47
F3 0.5000 0.5000 0.0000  2 Pb 2.40
F4 0.5835 0.0835 0.5000  2 Pb 2.47
F5 0.9165 0.4165 0.5000  2 Pb 2.47

***

First-principles (PBE-GGA) data for a relaxed Cs2PbClF3 crystal, as listed in Alexandria via LeMat-Bulk.

a b c (Å): 8.5223 8.5223 8.5223
angles (deg): 146.43 140.46 52.81
With the nearest neighbours (Å) after each atom.
Atoms (fractional coordinates):
Cs1 0.1568 0.1568 0.0000  1 F 2.79
Cs2 0.8432 0.8432 0.0000  1 F 2.79
Pb1 0.5000 0.5000 0.0000  4 F 2.45-2.46
Cl1 0.0000 0.5000 0.5000  2 Pb 2.88
F1 0.3397 0.3397 0.0000  1 Pb 2.45
F2 0.5000 0.0000 0.5000  2 Pb 2.46
F3 0.6603 0.6603 0.0000  1 Pb 2.45

***

First-principles (PBE-GGA) data for a relaxed CsPbClF2 crystal, as listed in Alexandria via LeMat-Bulk.

a b c (Å): 4.9081 4.9081 5.8685
angles (deg): 90.00 90.00 90.00
With the nearest neighbours (Å) after each atom.
Atoms (fractional coordinates):
Cs1 0.0000 0.0000 0.0000  4 Cl 3.47, 8 F 3.83
Pb1 0.5000 0.5000 0.5000  4 F 2.45
Cl1 0.5000 0.5000 0.0000  2 Pb 2.93
F1 0.0000 0.5000 0.5000  2 Pb 2.45
F2 0.5000 0.0000 0.5000  2 Pb 2.45

***

First-principles (PBE-GGA) data for a relaxed Cs3Pb2Cl4F3 crystal, as listed in Alexandria via LeMat-Bulk.

a b c (Å): 14.4781 14.4781 14.4781
angles (deg): 160.74 30.46 156.63
With the nearest neighbours (Å) after each atom.
Atoms (fractional coordinates):
Cs1 0.0000 0.0000 0.0000  4 F 3.10-3.15
Cs2 0.1211 0.9375 0.1836  5 Cl 3.46-3.66, 1 F 3.63
Cs3 0.7539 0.9375 0.8164  5 Cl 3.46-3.66, 1 F 3.63
Pb1 0.3071 0.8943 0.4128  3 F 2.44-2.45
Pb2 0.4814 0.8943 0.5872  3 F 2.44-2.45
Cl1 0.2107 0.9035 0.3072  1 Pb 2.95
Cl2 0.5963 0.9035 0.6928  1 Pb 2.95
Cl3 0.8049 0.3958 0.4090  2 Pb 2.92-2.94
Cl4 0.9868 0.3958 0.5910  2 Pb 2.92-2.94
F1 0.2555 0.3403 0.9152  2 Pb 2.44
F2 0.3443 0.8443 0.5000  2 Pb 2.45
F3 0.4252 0.3403 0.0848  2 Pb 2.44

***

First-principles (PBE-GGA) data for a relaxed Cs3Pb2Cl3F4 crystal, as listed in Alexandria via LeMat-Bulk.

a b c (Å): 14.0903 14.0903 14.0903
angles (deg): 160.30 156.37 30.95
With the nearest neighbours (Å) after each atom.
Atoms (fractional coordinates):
Cs1 0.0000 0.0000 0.0000  8 Cl 3.69-3.76
Cs2 0.1943 0.1943 0.0000  1 F 2.84
Cs3 0.8057 0.8057 0.0000  1 F 2.84
Pb1 0.3841 0.3841 0.0000  3 F 2.31-2.44
Pb2 0.6159 0.6159 0.0000  3 F 2.31-2.44
Cl1 0.1030 0.6030 0.5000  2 Pb 2.91
Cl2 0.5000 0.5000 0.0000  2 Pb 3.15
Cl3 0.8970 0.3970 0.5000  2 Pb 2.91
F1 0.2989 0.2989 0.0000  1 Pb 2.31
F2 0.3702 0.8702 0.5000  2 Pb 2.44
F3 0.6298 0.1298 0.5000  2 Pb 2.44
F4 0.7011 0.7011 0.0000  1 Pb 2.31

***

Formation energy from raw total energies (computed, eV per atom): -1.447; -0.067; -3.224; -2.521; -1.845; -1.691; -1.860; -2.312; -2.278; -2.174; -2.022; -2.126